DFT (meta-GGA SCAN) results for FeAgIr2 at its PBEsol-relaxed geometry.

```
FeAgIr2
1.0
2.704 0.000 0.000
-1.352 2.342 0.000
0.000 0.000 26.469
Fe Ag Ir
3 3 6
Cartesian
0.000 0.000 0.000
0.000 1.561 17.646
1.352 0.781 8.823
0.000 0.000 13.235
0.000 1.561 4.412
1.352 0.781 22.058
0.000 0.000 6.820
0.000 0.000 19.650
0.000 1.561 10.827
0.000 1.561 24.466
1.352 0.781 2.003
1.352 0.781 15.643
```

Energy = -574.638 eV per cell
Symmetry = No. 166
Relative energy among the computed polymorphs = 0.0 meV per atom